Density functional theory data (meta-GGA SCAN) for a PBEsol-optimized structure of SiTc2Pb.

As for the energy above the lowest structure with this stoichiometry: 147 meV per atom. The calculation puts the uncorrected formation energy at 0.418 eV/atom. For the spin magnetization, the calculation gives 0.000 Bohr magnetons per cell. The final energy is -154.2 eV/cell.

abc: 3.0380 4.4120 5.1583
angles: 90.00 106.88 90.00
Space group Pm (No. 6)
Symmetry-distinct sites (fractional):
Si1 0.0000 0.0000 0.0000 x1
Tc1 0.0991 0.5000 0.2012 x1
Tc2 0.6980 0.0000 0.3994 x1
Pb1 0.3668 0.5000 0.7278 x1